DFT (PBE-GGA) results for a geometry-optimized Li2Be2Zn3 structure.

Calculated values
- DFT total energy: -14.7 eV/cell
- SG: R3m, No. 160

a = 6.3281 Å, b = 6.3281 Å, c = 6.3281 Å
α = 37.67°, β = 37.67°, γ = 37.67°
Last column: nearest neighbours and their distance in Å.
Fractional coordinates of all 7 atoms:
Be (0.0419, 0.0419, 0.0419)  4 Zn 2.37-2.45, 4 Li 2.56-2.62
Li (0.7648, 0.7648, 0.7648)  5 Zn 2.43-2.68, 6 Be 2.56-2.58
Be (0.4909, 0.4909, 0.4909)  2 Zn 2.31-2.35, 6 Li 2.43-2.58
Zn (0.6245, 0.6245, 0.6245)  1 Be 2.35, 1 Li 2.47, 3 Zn 2.55
Li (0.1906, 0.1906, 0.1906)  4 Be 2.43-2.62, 3 Zn 2.49
Zn (0.3597, 0.3597, 0.3597)  4 Be 2.31-2.37
Zn (0.9027, 0.9027, 0.9027)  4 Li 2.43-2.49, 1 Be 2.45, 3 Zn 2.55